[1]
Compound: HgRh2Au
Source: the Alexandria database
Functional: PBE-GGA
Structure: optimized geometry

Space-group type: Immm, No. 71

abc: 5.568 5.568 5.568
angles: 149.94 128.03 61.21
Atoms (fractional coordinates):
Hg1 0.000 0.000 0.000
Rh1 0.252 0.752 0.500
Rh2 0.748 0.248 0.500
Au1 0.500 0.500 0.000



[2]
Compound: HgRh2Au
Source: the Alexandria database
Functional: PBE-GGA
Structure: optimized geometry

Space-group type: C2/m, No. 12

abc: 4.905 4.905 4.991
angles: 99.82 99.82 34.35
Atoms (fractional coordinates):
Hg1 0.000 0.000 0.000
Rh1 0.249 0.249 0.743
Rh2 0.751 0.751 0.257
Au1 0.500 0.500 0.500



[3]
Compound: Sm5Hg2Rh2Au
Source: the Alexandria database
Functional: PBE-GGA
Structure: optimized geometry

Space-group type: P4/mbm, No. 127

abc: 11.787 11.787 3.735
angles: 90.00 90.00 90.00
Atoms (fractional coordinates):
Sm1 0.000 0.500 0.000
Sm2 0.085 0.198 0.000
Sm3 0.198 0.915 0.000
Sm4 0.302 0.415 0.000
Sm5 0.415 0.698 0.000
Sm6 0.500 0.000 0.000
Sm7 0.585 0.302 0.000
Sm8 0.698 0.585 0.000
Sm9 0.802 0.085 0.000
Sm10 0.915 0.802 0.000
Hg1 0.171 0.671 0.500
Hg2 0.329 0.171 0.500
Hg3 0.671 0.829 0.500
Hg4 0.829 0.329 0.500
Rh1 0.132 0.368 0.500
Rh2 0.368 0.868 0.500
Rh3 0.632 0.132 0.500
Rh4 0.868 0.632 0.500
Au1 0.000 0.000 0.500
Au2 0.500 0.500 0.500



[4]
Compound: Sr8HgRhAu2
Source: the Alexandria database
Functional: PBE-GGA
Structure: optimized geometry

Space-group type: P2/m, No. 10

abc: 7.262 9.181 7.518
angles: 90.00 90.64 90.00
Atoms (fractional coordinates):
Sr1 0.231 0.000 0.345
Sr2 0.255 0.500 0.318
Sr3 0.265 0.273 0.835
Sr4 0.265 0.727 0.835
Sr5 0.735 0.273 0.165
Sr6 0.735 0.727 0.165
Sr7 0.745 0.500 0.682
Sr8 0.769 0.000 0.655
Hg1 0.500 0.000 0.000
Rh1 0.500 0.500 0.000
Au1 0.000 0.258 0.500
Au2 0.000 0.742 0.500



[5]
Compound: Sr6Hg2RhAu
Source: the Alexandria database
Functional: PBE-GGA
Structure: optimized geometry

Space-group type: P2_1/c, No. 14

abc: 7.548 8.590 13.698
angles: 90.00 123.31 90.00
Atoms (fractional coordinates):
Sr1 0.099 0.194 0.440
Sr2 0.099 0.306 0.940
Sr3 0.266 0.673 0.439
Sr4 0.266 0.827 0.939
Sr5 0.374 0.032 0.241
Sr6 0.374 0.468 0.741
Sr7 0.626 0.532 0.259
Sr8 0.626 0.968 0.759
Sr9 0.734 0.173 0.061
Sr10 0.734 0.327 0.561
Sr11 0.901 0.694 0.060
Sr12 0.901 0.806 0.560
Hg1 0.190 0.110 0.746
Hg2 0.190 0.390 0.246
Hg3 0.810 0.610 0.754
Hg4 0.810 0.890 0.254
Rh1 0.000 0.000 0.000
Rh2 0.000 0.500 0.500
Au1 0.500 0.000 0.500
Au2 0.500 0.500 0.000



[6]
Compound: Tb4HgRhAu2
Source: the Alexandria database
Functional: PBE-GGA
Structure: optimized geometry

Space-group type: R-3m, No. 166

abc: 8.781 8.781 8.781
angles: 33.81 33.81 33.81
Atoms (fractional coordinates):
Tb1 0.117 0.117 0.117
Tb2 0.369 0.369 0.369
Tb3 0.631 0.631 0.631
Tb4 0.883 0.883 0.883
Hg1 0.500 0.500 0.500
Rh1 0.000 0.000 0.000
Au1 0.243 0.243 0.243
Au2 0.757 0.757 0.757



Let's list energy in order: -4.290, -4.356, -4.806, -2.724, -2.574, -4.847 eV/atom.
Let's list volume in order: 68, 67, 519, 501, 742, 187 Å³ per cell.
Let's list total magnetization in order: 0.00, 0.00, 0.00, 0.00, 0.00, 0.00 μB per formula unit.